*A*
The following is a DFT calculation (PBE) of a relaxed structure of AlAgC3.

Values from the calculation:
space-group type: Pm-3m

a = 3.963 Å, b = 3.963 Å, c = 3.963 Å
α = 90.00°, β = 90.00°, γ = 90.00°
Fractional positions:
C  0.000  0.500  0.000
C  0.000  0.000  0.500
C  0.500  0.000  0.000
Al  0.000  0.000  0.000
Ag  0.500  0.500  0.500



*B*
The following is a DFT calculation (PBE) of a relaxed structure of AlAgC3.

Values from the calculation:
space-group type: Pm-3m

a = 4.157 Å, b = 4.157 Å, c = 4.157 Å
α = 90.00°, β = 90.00°, γ = 90.00°
Fractional positions:
C  0.000  0.500  0.000
C  0.000  0.000  0.500
C  0.500  0.000  0.000
Al  0.500  0.500  0.500
Ag  0.000  0.000  0.000



Relative energies, unit meV/atom: *A* 0; *B* 809